No. 1
Below is a relaxed NbCuBr2 crystal, with properties calculated at the PBE-GGA level.

As for the crystal system: tetragonal. As for the energy above the most stable polymorph in this dataset: 0.099 eV per formula unit. The formation energy from raw total energies comes out at 0.463 eV/atom.

The structure belongs to space group I-42d (No. 122); the cell edges are 6.2104, 6.2104 and 11.1030 Å and the angles 90.00°, 90.00° and 90.00°. Symmetry generates all atoms from Nb at (0.0000, 0.0000, 0.0000), Cu at (0.0000, 0.0000, 0.5000) and Br at (0.2129, 0.2500, 0.6250).

***

No. 2
Below is a relaxed NbCu3Br crystal, with properties calculated at the PBE-GGA level.

As for the crystal system: cubic. As for the energy above the most stable polymorph in this dataset: 0.137 eV per formula unit. The formation energy from raw total energies comes out at 1.387 eV/atom.

The structure belongs to space group Pm-3m (No. 221); the cell edges are 4.9165, 4.9165 and 4.9165 Å and the angles 90.00°, 90.00° and 90.00°. Symmetry generates all atoms from Nb at (0.0000, 0.0000, 0.0000), Cu at (0.0000, 0.0000, 0.5000) and Br at (0.5000, 0.5000, 0.5000).

***

No. 3
Below is a relaxed Nb2CuBr crystal, with properties calculated at the PBE-GGA level.

As for the crystal system: cubic. As for the energy above the most stable polymorph in this dataset: 0.000 eV per formula unit. The formation energy from raw total energies comes out at 0.501 eV/atom.

The structure belongs to space group Fm-3m (No. 225); the cell edges are 6.4237, 6.4237 and 6.4237 Å and the angles 90.00°, 90.00° and 90.00°. Symmetry generates all atoms from Nb at (0.2500, 0.2500, 0.2500), Cu at (0.0000, 0.0000, 0.0000) and Br at (0.0000, 0.0000, 0.5000).

***

No. 4
Below is a relaxed NbCu2Br8 crystal, with properties calculated at the PBE-GGA level.

As for the crystal system: monoclinic. The formation energy from raw total energies comes out at -0.528 eV/atom.

The structure belongs to space group C2/m (No. 12); the cell edges are 12.6040, 8.7963 and 7.0225 Å and the angles 90.00°, 90.43° and 90.00°. Symmetry generates all atoms from Nb at (0.0000, 0.0000, 0.0000), Cu at (0.2056, 0.0000, 0.1739), Br at (0.0722, 0.2065, 0.2259), Br at (0.1342, 0.5000, 0.6787) and Br at (0.1773, 0.0000, 0.8194).

***

How do the records compare in uncorrected energy? In the order shown, they have -3.915; -3.419; -5.976; -3.404 eV per atom.
How do the records compare in calculated density? In the order shown, they have 4905; 5078; 8251; 3665 kg/m³.